Entry 1:
Computed, not measured: crystalline PtW4 at its relaxed geometry at the PBE level of DFT.

Lattice parameters (Å, degrees): 4.941 4.941 4.941 98.93 98.93 133.58
Element x y z (fractional)
Pt (0.000, 0.000, 0.000)
W (0.200, 0.390, 0.591)
W (0.390, 0.800, 0.190)
W (0.610, 0.200, 0.810)
W (0.800, 0.610, 0.409)

Output
Total energy = -11.46 eV per atom
DFT formation energy = 10.8 kJ/mol of atoms
E above lowest polymorph = 0.00 eV/f.u.
DOS at the Fermi energy = 0.738 states/eV per atom


Entry 2:
Computed, not measured: crystalline PtW at its relaxed geometry at the PBE level of DFT.

Lattice parameters (Å, degrees): 4.816 4.816 4.816 130.64 130.64 72.39
Element x y z (fractional)
Pt (0.375, 0.625, 0.750)
Pt (0.625, 0.375, 0.250)
W (0.125, 0.875, 0.250)
W (0.875, 0.125, 0.750)

Output
Total energy = -9.59 eV per atom
DFT formation energy = -8.5 kJ/mol of atoms
DOS at the Fermi energy = 1.229 states/eV per atom


Entry 3:
Computed, not measured: crystalline Pt5W at its relaxed geometry at the PBE level of DFT.

Lattice parameters (Å, degrees): 4.580 7.410 7.410 22.02 90.00 90.00
Element x y z (fractional)
Pt (0.000, 0.000, 0.000)
Pt (0.000, 0.322, 0.322)
Pt (0.500, 0.218, 0.218)
Pt (0.500, 0.554, 0.554)
Pt (0.500, 0.887, 0.887)
W (0.000, 0.659, 0.659)

Output
Total energy = -7.34 eV per atom
DFT formation energy = -14.3 kJ/mol of atoms
E above lowest polymorph = 0.41 eV/f.u.
DOS at the Fermi energy = 0.996 states/eV per atom


Entry 4:
Computed, not measured: crystalline PtW at its relaxed geometry at the PBE level of DFT.

Lattice parameters (Å, degrees): 11.084 11.084 2.703 90.00 90.00 120.00
Element x y z (fractional)
Pt (0.202, 0.494, 0.250)
Pt (0.292, 0.798, 0.250)
Pt (0.494, 0.292, 0.750)
Pt (0.506, 0.708, 0.250)
Pt (0.708, 0.202, 0.750)
Pt (0.798, 0.506, 0.750)
W (0.062, 0.624, 0.750)
W (0.376, 0.438, 0.750)
W (0.438, 0.062, 0.250)
W (0.562, 0.938, 0.750)
W (0.624, 0.562, 0.250)
W (0.938, 0.376, 0.250)

Output
Total energy = -8.99 eV per atom
DFT formation energy = 48.6 kJ/mol of atoms
DOS at the Fermi energy = 0.838 states/eV per atom


Entry 5:
Computed, not measured: crystalline PtW5 at its relaxed geometry at the PBE level of DFT.

Lattice parameters (Å, degrees): 5.270 5.270 4.476 90.00 90.00 120.00
Element x y z (fractional)
Pt (0.000, 0.000, 0.000)
W (0.000, 0.500, 0.500)
W (0.333, 0.667, 0.000)
W (0.500, 0.000, 0.500)
W (0.500, 0.500, 0.500)
W (0.667, 0.333, 0.000)

Output
Total energy = -11.10 eV per atom
DFT formation energy = 67.7 kJ/mol of atoms
E above lowest polymorph = 3.66 eV/f.u.
DOS at the Fermi energy = 0.951 states/eV per atom


Entry 6:
Computed, not measured: crystalline PtW5 at its relaxed geometry at the PBE level of DFT.

Lattice parameters (Å, degrees): 4.943 4.943 4.576 90.00 90.00 120.00
Element x y z (fractional)
Pt (0.000, 0.000, 0.000)
W (0.000, 0.664, 0.500)
W (0.333, 0.667, 0.000)
W (0.336, 0.336, 0.500)
W (0.664, 0.000, 0.500)
W (0.667, 0.333, 0.000)

Output
Total energy = -11.57 eV per atom
DFT formation energy = 22.0 kJ/mol of atoms
E above lowest polymorph = 0.81 eV/f.u.
DOS at the Fermi energy = 0.977 states/eV per atom


Entry 7:
Computed, not measured: crystalline PtW at its relaxed geometry at the PBE level of DFT.

Lattice parameters (Å, degrees): 4.519 4.909 4.909 120.31 90.00 90.00
Element x y z (fractional)
Pt (0.000, 0.000, 0.000)
Pt (0.500, 0.326, 0.988)
Pt (0.500, 0.988, 0.326)
W (0.000, 0.326, 0.660)
W (0.000, 0.660, 0.326)
W (0.500, 0.643, 0.643)

Output
Total energy = -9.70 eV per atom
DFT formation energy = -19.4 kJ/mol of atoms
DOS at the Fermi energy = 0.697 states/eV per atom


Entry 8:
Computed, not measured: crystalline Pt5W at its relaxed geometry at the PBE level of DFT.

Lattice parameters (Å, degrees): 6.261 6.261 4.014 90.00 90.00 143.28
Element x y z (fractional)
Pt (0.000, 0.000, 0.000)
Pt (0.158, 0.842, 0.500)
Pt (0.337, 0.663, 0.000)
Pt (0.663, 0.337, 0.000)
Pt (0.842, 0.158, 0.500)
W (0.500, 0.500, 0.500)

Output
Total energy = -7.41 eV per atom
DFT formation energy = -20.9 kJ/mol of atoms
E above lowest polymorph = 0.00 eV/f.u.
DOS at the Fermi energy = 0.979 states/eV per atom


Entry 9:
Computed, not measured: crystalline PtW at its relaxed geometry at the PBE level of DFT.

Lattice parameters (Å, degrees): 4.057 4.057 5.179 90.00 90.00 120.00
Element x y z (fractional)
Pt (0.333, 0.667, 0.250)
Pt (0.667, 0.333, 0.750)
W (0.000, 0.000, 0.000)
W (0.000, 0.000, 0.500)

Output
Total energy = -9.03 eV per atom
DFT formation energy = 44.6 kJ/mol of atoms
DOS at the Fermi energy = 1.106 states/eV per atom


Entry 10:
Computed, not measured: crystalline PtW at its relaxed geometry at the PBE level of DFT.

Lattice parameters (Å, degrees): 10.808 10.808 4.233 90.00 90.00 90.00
Element x y z (fractional)
Pt (0.083, 0.354, 0.000)
Pt (0.252, 0.600, 0.500)
Pt (0.354, 0.917, 0.000)
Pt (0.400, 0.252, 0.500)
Pt (0.600, 0.748, 0.500)
Pt (0.646, 0.083, 0.000)
Pt (0.748, 0.400, 0.500)
Pt (0.917, 0.646, 0.000)
W (0.137, 0.577, 0.000)
W (0.204, 0.371, 0.500)
W (0.371, 0.796, 0.500)
W (0.423, 0.137, 0.000)
W (0.577, 0.863, 0.000)
W (0.629, 0.204, 0.500)
W (0.796, 0.629, 0.500)
W (0.863, 0.423, 0.000)

Output
Total energy = -8.28 eV per atom
DFT formation energy = 117.4 kJ/mol of atoms
DOS at the Fermi energy = 0.838 states/eV per atom


Entry 11:
Computed, not measured: crystalline Pt7W3 at its relaxed geometry at the PBE level of DFT.

Lattice parameters (Å, degrees): 8.032 8.032 6.217 90.00 90.00 119.79
Element x y z (fractional)
Pt (0.041, 0.959, 0.500)
Pt (0.048, 0.588, 0.525)
Pt (0.145, 0.855, 0.854)
Pt (0.278, 0.394, 0.036)
Pt (0.392, 0.608, 0.519)
Pt (0.394, 0.278, 0.536)
Pt (0.412, 0.952, 0.525)
Pt (0.588, 0.048, 0.025)
Pt (0.606, 0.722, 0.036)
Pt (0.608, 0.392, 0.019)
Pt (0.722, 0.606, 0.536)
Pt (0.855, 0.145, 0.354)
Pt (0.952, 0.412, 0.025)
Pt (0.959, 0.041, 0.000)
W (0.085, 0.300, 0.672)
W (0.280, 0.720, 0.170)
W (0.300, 0.085, 0.172)
W (0.700, 0.915, 0.672)
W (0.720, 0.280, 0.670)
W (0.915, 0.700, 0.172)

Output
Total energy = -8.08 eV per atom
DFT formation energy = 3.6 kJ/mol of atoms
DOS at the Fermi energy = 0.751 states/eV per atom


Entry 12:
Computed, not measured: crystalline Pt3W at its relaxed geometry at the PBE level of DFT.

Lattice parameters (Å, degrees): 9.332 9.332 9.332 17.33 17.33 17.33
Element x y z (fractional)
Pt (0.000, 0.000, 0.000)
Pt (0.247, 0.247, 0.247)
Pt (0.753, 0.753, 0.753)
W (0.500, 0.500, 0.500)

Output
Total energy = -7.93 eV per atom
DFT formation energy = -15.1 kJ/mol of atoms
DOS at the Fermi energy = 0.820 states/eV per atom


- Look up the total energy of the first one.
  -11.46 eV per atom


- Among the records above, which one has the lowest DFT formation energy?
  number 8


- Which value of total energy does entry 5 give?
  -11.10 eV per atom


What did the eighth record say?
Computed, not measured: crystalline Pt5W at its relaxed geometry at the PBE level of DFT.

Lattice parameters (Å, degrees): 6.261 6.261 4.014 90.00 90.00 143.28
Element x y z (fractional)
Pt (0.000, 0.000, 0.000)
Pt (0.158, 0.842, 0.500)
Pt (0.337, 0.663, 0.000)
Pt (0.663, 0.337, 0.000)
Pt (0.842, 0.158, 0.500)
W (0.500, 0.500, 0.500)

Output
Total energy = -7.41 eV per atom
DFT formation energy = -20.9 kJ/mol of atoms
E above lowest polymorph = 0.00 eV/f.u.
DOS at the Fermi energy = 0.979 states/eV per atom